## CeYIr2 (GGA-PBE)

Data for a relaxed structure of CeYIr2.

Properties
- energy relative to the elements (kJ/mol of atoms) = -76.3
- final energy (eV per cell) = -33.3
- total magnetic moment (μB/atom) = 0.0000

Lattice parameters (Å, degrees): 3.8763 4.1823 5.7209 90.00 109.77 90.00
Fractional coordinates of all 4 atoms:
Ce 0.4394 0.5000 0.4187
Y 0.7241 0.0000 0.9869
Ir 0.1731 0.5000 0.8845
Ir 0.9943 0.0000 0.5280

## Y4ReAu (GGA-PBE)

Data for a relaxed structure of Y4ReAu.

Properties
- energy relative to the elements (kJ/mol of atoms) = 79.0
- final energy (eV per cell) = -36.7
- total magnetic moment (μB/atom) = 0.0000

Lattice parameters (Å, degrees): 5.9184 5.9184 5.9184 60.00 60.00 60.00
Fractional coordinates of all 6 atoms:
Y 0.8777 0.3741 0.3741
Y 0.3741 0.3741 0.8777
Y 0.3741 0.8777 0.3741
Y 0.3741 0.3741 0.3741
Re 0.0000 0.0000 0.0000
Au 0.7500 0.7500 0.7500

## LiBi2W (GGA-PBE)

Data for a relaxed structure of LiBi2W.

Properties
- energy relative to the elements (kJ/mol of atoms) = 81.4
- final energy (eV per cell) = -38.5
- energy relative to the lowest polymorph listed for this composition (eV per atom) = 0.317
- total magnetic moment (μB/atom) = 0.2500

Lattice parameters (Å, degrees): 6.7392 6.7392 7.6450 63.85 63.85 90.00
Last column: magnetic moment on the atom in μB.
Fractional coordinates of all 8 atoms:
Bi 0.6515 0.1250 0.2500  -0.10
Bi 0.0985 0.6250 0.2500  -0.11
Bi 0.3750 0.3485 0.7500  -0.11
Bi 0.8750 0.9015 0.7500  -0.12
W 0.0000 0.0000 0.0000  1.05
W 0.7500 0.2500 0.5000  1.05
Li 0.5000 0.5000 0.0000  -0.01
Li 0.2500 0.7500 0.5000  -0.01

## MgBRu3 (GGA-PBE)

Data for a relaxed structure of MgBRu3.

Properties
- energy relative to the elements (kJ/mol of atoms) = 3.2
- final energy (eV per cell) = -35.9
- energy relative to the lowest polymorph listed for this composition (eV per atom) = 0.000
- total magnetic moment (μB/atom) = 0.1302

Lattice parameters (Å, degrees): 4.1084 4.1084 4.1084 90.00 90.00 90.00
Last column: magnetic moment on the atom in μB.
Fractional coordinates of all 5 atoms:
Ru 0.0000 0.5000 0.0000  0.28
Ru 0.0000 0.0000 0.5000  0.15
Ru 0.5000 0.0000 0.0000  0.23
Mg 0.5000 0.5000 0.5000  -0.01
B 0.0000 0.0000 0.0000  -0.01

## Pm2ErRh (GGA-PBE)

Data for a relaxed structure of Pm2ErRh.

Properties
- energy relative to the elements (kJ/mol of atoms) = -45.6
- final energy (eV per cell) = -93.2
- energy relative to the lowest polymorph listed for this composition (eV per atom) = 0.000
- total magnetic moment (μB/atom) = 0.0000

Lattice parameters (Å, degrees): 6.3073 7.2356 9.8515 90.00 90.00 90.00
Fractional coordinates of all 16 atoms:
Pm 0.1704 0.6790 0.0650
Pm 0.3296 0.1790 0.4350
Pm 0.8296 0.3210 0.5650
Pm 0.6704 0.8210 0.9350
Pm 0.8296 0.3210 0.9350
Pm 0.6704 0.8210 0.5650
Pm 0.1704 0.6790 0.4350
Pm 0.3296 0.1790 0.0650
Er 0.6489 0.5374 0.2500
Er 0.8511 0.0374 0.2500
Er 0.3511 0.4626 0.7500
Er 0.1489 0.9626 0.7500
Rh 0.0528 0.3784 0.2500
Rh 0.4472 0.8784 0.2500
Rh 0.9472 0.6216 0.7500
Rh 0.5528 0.1216 0.7500

## Sc8Ag2Pt (GGA-PBE)

Data for a relaxed structure of Sc8Ag2Pt.

Properties
- energy relative to the elements (kJ/mol of atoms) = -32.7
- final energy (eV per cell) = -66.1
- total magnetic moment (μB/atom) = 0.0362

Lattice parameters (Å, degrees): 4.8505 6.4924 8.4364 108.37 106.71 90.00
Last column: magnetic moment on the atom in μB.
Fractional coordinates of all 11 atoms:
Sc 0.4068 0.5594 0.8136  0.08
Sc 0.6631 0.9619 0.3261  -0.01
Sc 0.8044 0.7045 0.6088  0.01
Sc 0.9750 0.2177 0.9501  0.04
Sc 0.1956 0.2955 0.3912  0.01
Sc 0.3369 0.0381 0.6739  -0.01
Sc 0.5932 0.4406 0.1864  0.08
Sc 0.0250 0.7823 0.0499  0.04
Ag 0.8179 0.2974 0.6358  0.00
Ag 0.1821 0.7026 0.3642  0.00
Pt 0.5000 0.0000 0.0000  0.00

## SiTeIr3 (GGA-PBE)

Data for a relaxed structure of SiTeIr3.

Properties
- E_form (uncorrected) (eV/atom) = 0.7005
- final energy (eV per cell) = -31.6
- energy relative to the lowest polymorph listed for this composition (eV per atom) = 0.000
- total magnetic moment (μB/atom) = 0.1371

Lattice parameters (Å, degrees): 4.5150 4.5150 4.5150 90.00 90.00 90.00
Last column: magnetic moment on the atom in μB.
Fractional coordinates of all 5 atoms:
Si 0.0000 0.0000 0.0000  -0.01
Ir 0.0000 0.5000 0.0000  0.26
Ir 0.0000 0.0000 0.5000  0.12
Ir 0.5000 0.0000 0.0000  0.29
Te 0.5000 0.5000 0.5000  0.03

## Li3Mg2Cu2 (GGA-PBE)

Data for a relaxed structure of Li3Mg2Cu2.

Properties
- energy relative to the elements (kJ/mol of atoms) = -4.8
- final energy (eV per cell) = -17.5
- energy relative to the lowest polymorph listed for this composition (eV per atom) = 0.000
- total magnetic moment (μB/atom) = 0.0000

Lattice parameters (Å, degrees): 4.5023 4.5023 6.8459 90.19 109.06 119.90
Fractional coordinates of all 7 atoms:
Li 0.0000 0.0000 0.0000
Li 0.7199 0.8594 0.5793
Li 0.2801 0.1406 0.4207
Mg 0.4288 0.7148 0.1436
Mg 0.5712 0.2852 0.8564
Cu 0.1341 0.5668 0.7009
Cu 0.8659 0.4332 0.2991